DFT (PBE-GGA) results for an optimized crystal structure of MgTl2Fe.

Cell lengths 9.8447, 9.8447, 5.0377 Å; angles 90.00, 90.00, 90.00 degrees
Last column: nearest neighbours and their distance in Å.
Space group I4_1/amd (No. 141, origin choice 2)
Symmetry-distinct sites (fractional):
1 Mg 0.0000 0.2500 0.3750 x4  2 Fe 2.52
2 Tl 0.0000 0.0000 0.0000 x8  2 Fe 2.54
3 Fe 0.0000 0.2500 0.8750 x4  2 Mg 2.52, 4 Tl 2.54

Calculated values
E_form	0.540	eV/atom
mass density	6.7	g/cm3
electronic total energy	-3.1577	eV per atom
size of the total moment	0.000	μB/f.u.